Entry 1:
Ba2NiI: relaxed, GGA-PBE.

```
Ba2NiI
1.0
2.2749 1.3134 8.7406
-2.2749 1.3134 8.7406
0.0000 -2.6268 8.7406
Ba Ni I
2 1 1
direct
0.2334 0.2334 0.2334
0.7666 0.7666 0.7666
0.5000 0.5000 0.5000
0.0000 0.0000 0.0000
```

Values from the calculation:
* offset from the most stable computed form: 0.000 eV/atom
* SG: R-3m, No. 166



Entry 2:
Ba2NiI: relaxed, GGA-PBE.

```
Ba2NiI
1.0
3.9869 0.0000 0.0000
0.0000 3.9869 0.0000
0.0000 0.0000 8.7383
Ba Ni I
2 1 1
direct
0.0000 0.0000 0.2089
0.0000 0.0000 0.7911
0.5000 0.5000 0.0000
0.5000 0.5000 0.5000
```

Values from the calculation:
* offset from the most stable computed form: 0.092 eV/atom
* SG: P4/mmm, No. 123



Entry 3:
Ba4NiI2: relaxed, GGA-PBE.

```
Ba4NiI2
1.0
-3.0267 3.0267 8.9060
3.0267 -3.0267 8.9060
3.0267 3.0267 -8.9060
Ba Ni I
4 1 2
direct
0.0000 0.5000 0.5000
0.1802 0.1802 0.0000
0.5000 0.0000 0.5000
0.8198 0.8198 0.0000
0.0000 0.0000 0.0000
0.3821 0.3821 0.0000
0.6179 0.6179 0.0000
```

Values from the calculation:
* SG: I4/mmm, No. 139



no.,total magnetic moment (μB/atom),formation energy (no corrections) (eV per atom)
1,0.000,-0.624
2,0.000,-0.532
3,0.109,-0.605